A plane-wave DFT calculation with PBE was carried out for crystalline Y3MnRh8 at its relaxed geometry.

Results
Formation enthalpy at 0 K = -12.49 kcal/mol of atoms
Theoretical density = 9.07 g/cm3

Unit cell a=5.2895 b=5.2895 c=25.9605 alpha=90.00 beta=90.00 gamma=120.00
Space group R3m (No. 160, hexagonal axes)
Symmetry-distinct sites (fractional):
Y1 0.0000 0.0000 0.0000 x3
Y2 0.0000 0.0000 0.1285 x3
Y3 0.0000 0.0000 0.6183 x3
Mn1 0.0000 0.0000 0.4949 x3
Rh1 0.0000 0.0000 0.3120 x3
Rh2 0.0000 0.0000 0.8122 x3
Rh3 0.0009 0.5005 0.0630 x9
Rh4 0.0005 0.5003 0.5610 x9


A plane-wave DFT calculation with PBE was carried out for crystalline Y4MnRh at its relaxed geometry.

Results
Formation enthalpy at 0 K = 16.96 kcal/mol of atoms
Theoretical density = 5.39 g/cm3

Unit cell a=8.585 b=8.585 c=8.585 alpha=90.00 beta=90.00 gamma=90.00
Space group F-43m (No. 216)
Symmetry-distinct sites (fractional):
Y1 0.124 0.124 0.376 x16
Mn1 0.000 0.000 0.000 x4
Rh1 0.250 0.250 0.750 x4


A plane-wave DFT calculation with PBE was carried out for crystalline YMnRh3 at its relaxed geometry.

Results
Formation enthalpy at 0 K = 2.69 kcal/mol of atoms
Theoretical density = 8.20 g/cm3
Energy above the lowest structure with this stoichiometry = 0.00 eV per formula unit

Unit cell a=4.508 b=4.508 c=4.508 alpha=90.00 beta=90.00 gamma=90.00
Space group Pm-3m (No. 221)
Symmetry-distinct sites (fractional):
Y1 0.000 0.000 0.000 x1
Mn1 0.500 0.500 0.500 x1
Rh1 0.000 0.500 0.500 x3


A plane-wave DFT calculation with PBE was carried out for crystalline YMnRh2 at its relaxed geometry.

Results
Formation enthalpy at 0 K = 6.03 kcal/mol of atoms
Theoretical density = 6.93 g/cm3

Unit cell a=4.661 b=4.661 c=15.422 alpha=90.00 beta=90.00 gamma=90.00
Space group I-42d (No. 122)
Symmetry-distinct sites (fractional):
Y1 0.000 0.000 0.000 x4
Mn1 0.000 0.000 0.500 x4
Rh1 0.105 0.250 0.625 x8


A plane-wave DFT calculation with PBE was carried out for crystalline YMnRh2 at its relaxed geometry.

Results
Formation enthalpy at 0 K = -0.82 kcal/mol of atoms
Theoretical density = 8.05 g/cm3

Unit cell a=3.2133 b=3.2133 c=24.2050 alpha=90.00 beta=90.00 gamma=120.00
Space group R-3m (No. 166, hexagonal axes)
Symmetry-distinct sites (fractional):
Y1 0.0000 0.0000 0.0000 x3
Mn1 0.0000 0.0000 0.5000 x3
Rh1 0.0000 0.0000 0.2452 x6


A plane-wave DFT calculation with PBE was carried out for crystalline YMnRh2 at its relaxed geometry.

Results
Formation enthalpy at 0 K = -4.57 kcal/mol of atoms
Theoretical density = 8.20 g/cm3

Unit cell a=3.114 b=3.969 c=5.730 alpha=90.00 beta=90.00 gamma=90.00
Space group Pmm2 (No. 25)
Symmetry-distinct sites (fractional):
Y1 0.000 0.000 0.000 x1
Mn1 0.500 0.500 0.345 x1
Rh1 0.000 0.000 0.488 x1
Rh2 0.500 0.500 0.784 x1


Please write out number 5 again, unchanged.
A plane-wave DFT calculation with PBE was carried out for crystalline YMnRh2 at its relaxed geometry.

Results
Formation enthalpy at 0 K = -0.82 kcal/mol of atoms
Theoretical density = 8.05 g/cm3

Unit cell a=3.2133 b=3.2133 c=24.2050 alpha=90.00 beta=90.00 gamma=120.00
Space group R-3m (No. 166, hexagonal axes)
Symmetry-distinct sites (fractional):
Y1 0.0000 0.0000 0.0000 x3
Mn1 0.0000 0.0000 0.5000 x3
Rh1 0.0000 0.0000 0.2452 x6


- What is the formula in the fifth record?
  YMnRh2


- Which value of formation enthalpy at 0 K does entry 2 give?
  16.96 kcal/mol of atoms


Repeat the third record exactly.
A plane-wave DFT calculation with PBE was carried out for crystalline YMnRh3 at its relaxed geometry.

Results
Formation enthalpy at 0 K = 2.69 kcal/mol of atoms
Theoretical density = 8.20 g/cm3
Energy above the lowest structure with this stoichiometry = 0.00 eV per formula unit

Unit cell a=4.508 b=4.508 c=4.508 alpha=90.00 beta=90.00 gamma=90.00
Space group Pm-3m (No. 221)
Symmetry-distinct sites (fractional):
Y1 0.000 0.000 0.000 x1
Mn1 0.500 0.500 0.500 x1
Rh1 0.000 0.500 0.500 x3